# WAu2F | Alexandria | GGA+U | optimized geometry
# N(E_F) in states/eV/cell: 15.119
# Crystal system: cubic
# Calculated total energy in eV/atom: -3.69
# Calculated density in g/cm³: 14.3
data_WAu2F
_chemical_formula_sum 'W4 Au8 F4'
_cell_length_a 6.5260
_cell_length_b 6.5260
_cell_length_c 6.5260
_cell_angle_alpha 90.00
_cell_angle_beta 90.00
_cell_angle_gamma 90.00
_symmetry_space_group_name_H-M 'F m -3 m'
_symmetry_Int_Tables_number 225
_symmetry_space_group_name_Hall '-F 4 2 3'
loop_
_atom_site_label
_atom_site_type_symbol
_atom_site_fract_x
_atom_site_fract_y
_atom_site_fract_z
W1 W 0.0000 0.0000 0.0000
Au1 Au 0.2500 0.2500 0.2500
F1 F 0.0000 0.0000 0.5000